A relaxed structure of TlCd2Rh2. Source: Alexandria, functional PBE.

Cell lengths 3.843, 3.843, 7.688 Å; angles 75.53, 75.53, 90.00 degrees
Each line ends with the local moment (μB).
Element x y z (fractional)
Tl (0.000, 0.000, 0.000)  0.00
Rh (0.750, 0.250, 0.500)  0.31
Rh (0.250, 0.750, 0.500)  0.31
Cd (0.390, 0.390, 0.221)  -0.01
Cd (0.610, 0.610, 0.779)  -0.01

Results
symmetry	I4/mmm (139)
total magnetic moment	0.59	μB/f.u.
distance to the lowest polymorph of the same formula	351	meV per atom
energy of formation from the pure elements	0.284	eV per atom